A plane-wave DFT calculation with PBE with a Hubbard U was carried out for a geometry-optimized Sr3NbCoO7 structure.

electronic total energy = -7.011 eV/atom
density of states at the Fermi level = 0.7 states/eV/cell

```
Sr3NbCoO7
1.0
10.873 -2.000 0.000
10.873 2.000 0.000
-0.714 0.000 3.907
Sr Nb Co O
3 1 1 7
Direct
0.000 0.000 0.000
0.627 0.627 0.634
0.838 0.838 0.836
0.220 0.220 0.225
0.427 0.427 0.415
0.120 0.120 0.131
0.213 0.213 0.721
0.309 0.309 0.318
0.414 0.414 0.925
0.516 0.516 0.542
0.714 0.714 0.220
0.915 0.915 0.422
```